## CuRuBr (GGA-PBEsol)

Data for a geometry-optimized CuRuBr structure.

```
CuRuBr
1.0
5.952 0.000 0.000
0.000 5.952 0.000
0.000 0.000 5.952
Cu Ru Br
4 4 4
Cartesian
0.000 0.000 0.000 Cu
0.000 2.976 2.976 Cu
2.976 0.000 2.976 Cu
2.976 2.976 0.000 Cu
1.488 1.488 1.488 Ru
1.488 4.464 4.464 Ru
4.464 1.488 4.464 Ru
4.464 4.464 1.488 Ru
1.488 1.488 4.464 Br
1.488 4.464 1.488 Br
4.464 1.488 1.488 Br
4.464 4.464 4.464 Br
```

Calculated values
The volume is 210.89 Å³ per cell. Its total DFT energy (no corrections) is -4.18 eV per atom. The calculation puts the uncorrected formation energy at 123 kJ/mol of atoms. Its density of states at the Fermi level is 1.63 states/eV/atom. The value obtained for the size of the total moment is 8.0 μB/cell.